No. 1
First-principles (PBE-GGA) data for a geometry-optimized MgBi4 structure, as listed in the Alexandria database.

a = 5.534 Å, b = 5.534 Å, c = 5.534 Å
α = 90.00°, β = 90.00°, γ = 90.00°
Fractional coordinates of all 5 atoms:
Mg: 0.500 0.500 0.500
Bi: 0.500 0.000 0.500
Bi: 0.000 0.000 0.000
Bi: 0.000 0.500 0.500
Bi: 0.500 0.500 0.000

Output
- Calculated formation energy: 0.46 eV/atom
- Calculated density: 8.43 g cm⁻³

---

No. 2
First-principles (PBE-GGA) data for a geometry-optimized CdOs2W2 structure, as listed in the Alexandria database.

a = 7.702 Å, b = 7.702 Å, c = 2.852 Å
α = 90.00°, β = 90.00°, γ = 90.00°
Fractional coordinates of all 10 atoms:
Os: 0.868 0.632 0.000
Os: 0.132 0.368 0.000
W: 0.159 0.659 0.500
W: 0.659 0.841 0.500
Os: 0.632 0.132 0.000
Cd: 0.000 0.000 0.000
Os: 0.368 0.868 0.000
Cd: 0.500 0.500 0.000
W: 0.341 0.159 0.500
W: 0.841 0.341 0.500

Output
- Calculated formation energy: 0.25 eV/atom
- Calculated density: 16.89 g cm⁻³

---

No. 3
First-principles (PBE-GGA) data for a geometry-optimized KPrNd2S4 structure, as listed in the Alexandria database.

a = 4.105 Å, b = 7.229 Å, c = 7.214 Å
α = 71.21°, β = 90.00°, γ = 90.00°
Fractional coordinates of all 8 atoms:
S: 0.000 0.242 0.247
K: 0.000 0.500 0.500
S: 0.500 0.767 0.235
S: 0.500 0.233 0.765
Pr: 0.500 0.500 0.000
Nd: 0.000 0.000 0.000
Nd: 0.500 0.000 0.500
S: 0.000 0.758 0.753

Output
- Raw formation energy: -1897 meV per atom
- Calculated density: 4.89 g cm⁻³

---

> Look up the calculated density of the first one.

8.43 g cm⁻³

---

> Which of these has the highest calculated density?

CdOs2W2

---

> Which formula does entry 2 have?

CdOs2W2